VASP calculation (PBE-GGA) on a relaxed TcAgP2S crystal.

## Properties
density = 4.79 g/cm³
energy relative to the lowest polymorph listed for this composition = 0.0 meV per atom
energy relative to the elements, uncorrected = 0.557 eV per atom

a = 4.486 Å, b = 4.486 Å, c = 5.172 Å
α = 90.00°, β = 90.00°, γ = 90.00°
Positions (direct):
P (0.000, 0.500, 0.000)
P (0.500, 0.000, 0.000)
S (0.000, 0.000, 0.500)
Tc (0.000, 0.000, 0.000)
Ag (0.500, 0.500, 0.500)